The following is a DFT calculation (PBE-GGA) of a relaxed structure of AgSI.

## Properties
- Space-group type: P3m1
- Raw formation energy: 250 meV per atom
- ΔE to the lowest computed polymorph: 0.81 eV per formula unit

```
AgSI
1.0
-1.8604 -0.6788 -3.5174
3.6709 -1.5388 0.6716
-2.1421 -4.2572 1.9546
Ag S I
1 1 1
direct
0.3333 0.6667 0.7173 Ag
0.0000 0.0000 0.9429 S
0.6667 0.3333 0.3712 I
```

=====

The following is a DFT calculation (PBE-GGA) of a relaxed structure of RbAgPdCl6.

## Properties
- Space-group type: P312
- Raw formation energy: -751 meV per atom

```
RbAgPdCl6
1.0
6.8404 0.0001 -0.0001
3.4203 5.9241 0.0001
0.0001 -0.0002 7.0204
Ag Cl Rb Pd
1 6 1 1
direct
0.6666 0.6667 0.5000 Ag
0.3511 0.6060 0.3067 Cl
0.6060 0.0428 0.3066 Cl
0.6060 0.3511 0.6933 Cl
0.0428 0.3512 0.3066 Cl
0.3511 0.0428 0.6933 Cl
0.0428 0.6061 0.6933 Cl
0.0000 0.0000 0.0000 Rb
0.3333 0.3333 0.5000 Pd
```

=====

The following is a DFT calculation (PBE-GGA) of a relaxed structure of Fe2PdRh2.

## Properties
- ΔH_f (0 K): 0.369 eV/atom
- Space-group type: I4/mmm
- ΔE to the lowest computed polymorph: 1.42 eV per formula unit

```
Fe2PdRh2
1.0
3.7086 0.0000 0.0000
0.0000 3.7086 0.0000
1.8543 1.8543 5.3046
Rh Fe Pd
2 2 1
direct
0.2500 0.7500 0.5000 Rh
0.7500 0.2500 0.5000 Rh
0.4014 0.4014 0.1973 Fe
0.5986 0.5986 0.8027 Fe
0.0000 0.0000 0.0000 Pd
```

=====

The following is a DFT calculation (PBE-GGA) of a relaxed structure of CrTc3Mo.

## Properties
- ΔH_f (0 K): 2.052 eV/atom
- Space-group type: Pm-3m
- ΔE to the lowest computed polymorph: 4.03 eV per formula unit

```
CrTc3Mo
1.0
-3.5753 -2.7995 0.7047
1.1925 -2.4539 -3.6977
2.6290 -2.6941 2.6357
Mo Tc Cr
1 3 1
direct
0.0000 0.0000 0.0000 Mo
0.0000 0.0000 0.5000 Tc
0.5000 0.0000 0.0000 Tc
0.0000 0.5000 0.0000 Tc
0.5000 0.5000 0.5000 Cr
```

=====

The following is a DFT calculation (PBE-GGA) of a relaxed structure of LiCeZnIn.

## Properties
- ΔH_f (0 K): -0.271 eV/atom
- Space-group type: F-43m

```
LiCeZnIn
1.0
4.9166 0.0000 0.0000
2.4583 4.2579 0.0000
2.4583 1.4193 4.0144
Ce Li Zn In
1 1 1 1
direct
0.5000 0.5000 0.5000 Ce
0.2500 0.2500 0.2500 Li
0.7500 0.7500 0.7500 Zn
0.0000 0.0000 0.0000 In
```

=====

The following is a DFT calculation (PBE-GGA) of a relaxed structure of LiPrNd2Au4.

## Properties
- ΔH_f (0 K): -0.700 eV/atom
- Space-group type: R-3m

```
LiPrNd2Au4
1.0
-3.2495 2.3636 3.2369
-2.8588 -2.7812 3.2735
4.0817 0.3664 7.9424
Au Li Pr Nd
4 1 1 2
direct
0.8789 0.8789 0.3632 Au
0.1211 0.1211 0.6368 Au
0.3762 0.3762 0.8713 Au
0.6238 0.6238 0.1287 Au
0.5000 0.5000 0.5000 Li
0.0000 0.0000 0.0000 Pr
0.2415 0.2415 0.2754 Nd
0.7585 0.7585 0.7246 Nd
```